Record 1
Entry from Alexandria via LeMat-Bulk: a geometry-optimized Re2PRu structure (PBE-GGA).

Calculated values
Total DFT energy (no corrections)   -0.35201 hartree per atom
D(E_F)   2.692 states/eV/f.u.

Cell lengths 4.9559, 8.1036, 2.8394 Å; angles 90.00, 90.00, 90.00 degrees
Last column: nearest neighbours and their distance in Å.
Space group Cmmm (No. 65)
Inequivalent atoms, fractional coordinates:
Re  0.2500  0.2500  0.0000 x4  2 Re 2.48, 4 Ru 2.77, 4 P 2.77
P  0.0000  0.0000  0.5000 x2  2 Ru 2.48, 8 Re 2.77
Ru  0.0000  0.5000  0.5000 x2  2 P 2.48, 8 Re 2.77

---

Record 2
Entry from Alexandria via LeMat-Bulk: a geometry-optimized LaCeGeRh structure (PBE-GGA).

Calculated values
Total DFT energy (no corrections)   -0.22879 hartree per atom
D(E_F)   6.716 states/eV/f.u.

Cell lengths 4.6535, 4.6535, 10.2377 Å; angles 90.00, 90.00, 90.00 degrees
Last column: nearest neighbours and their distance in Å.
Space group P4/nmm (No. 129, origin choice 2)
Inequivalent atoms, fractional coordinates:
La  0.2500  0.2500  0.1608 x2  1 Ge 2.92
Ce  0.2500  0.7500  0.5000 x2  4 Rh 2.74
Ge  0.2500  0.2500  0.8752 x2  1 Rh 2.40
Rh  0.2500  0.2500  0.6412 x2  1 Ge 2.40

---

Record 3
Entry from Alexandria via LeMat-Bulk: a geometry-optimized Ho3Tm2ScSb6 structure (PBE-GGA).

Calculated values
Formation energy from raw total energies   -1.06 eV per atom
D(E_F)   1.933 states/eV/f.u.

Cell lengths 18.8491, 4.3257, 8.6518 Å; angles 90.00, 103.19, 90.00 degrees
Last column: nearest neighbours and their distance in Å.
Space group C2/m (No. 12)
Inequivalent atoms, fractional coordinates:
Ho  0.0000  0.0000  0.0000 x2  6 Sb 3.07-3.12
Ho  0.1680  0.5000  0.3341 x4  6 Sb 3.07-3.10
Tm  0.1658  0.5000  0.8325 x4  6 Sb 3.05-3.06
Sc  0.0000  0.0000  0.5000 x2  6 Sb 2.99-3.00
Sb  0.0003  0.5000  0.2593 x4  2 Sc 3.00, 1 Tm 3.05, 3 Ho 3.08-3.12
Sb  0.1629  0.0000  0.5827 x4  1 Sc 2.99, 2 Tm 3.05, 3 Ho 3.07-3.10
Sb  0.1673  0.0000  0.0821 x4  3 Tm 3.05-3.06, 3 Ho 3.07

---

> Which of these has the highest D(E_F)?

LaCeGeRh

---

> Look up the D(E_F) of the third one.

1.933 states/eV/f.u.

---

> D(E_F) of number 2 (LaCeGeRh)?

6.716 states/eV/f.u.

---

Copy entry 3 word for word.
Entry from Alexandria via LeMat-Bulk: a geometry-optimized Ho3Tm2ScSb6 structure (PBE-GGA).

Calculated values
Formation energy from raw total energies   -1.06 eV per atom
D(E_F)   1.933 states/eV/f.u.

Cell lengths 18.8491, 4.3257, 8.6518 Å; angles 90.00, 103.19, 90.00 degrees
Last column: nearest neighbours and their distance in Å.
Space group C2/m (No. 12)
Inequivalent atoms, fractional coordinates:
Ho  0.0000  0.0000  0.0000 x2  6 Sb 3.07-3.12
Ho  0.1680  0.5000  0.3341 x4  6 Sb 3.07-3.10
Tm  0.1658  0.5000  0.8325 x4  6 Sb 3.05-3.06
Sc  0.0000  0.0000  0.5000 x2  6 Sb 2.99-3.00
Sb  0.0003  0.5000  0.2593 x4  2 Sc 3.00, 1 Tm 3.05, 3 Ho 3.08-3.12
Sb  0.1629  0.0000  0.5827 x4  1 Sc 2.99, 2 Tm 3.05, 3 Ho 3.07-3.10
Sb  0.1673  0.0000  0.0821 x4  3 Tm 3.05-3.06, 3 Ho 3.07